# SmCr2GaO6 (PBE with a Hubbard U, optimized geometry)
data_SmCr2GaO6
_cell_length_a 5.312
_cell_length_b 5.312
_cell_length_c 5.541
_cell_angle_alpha 61.38
_cell_angle_beta 61.37
_cell_angle_gamma 60.02
_space_group_name_H-M_alt 'P 1'
_space_group_IT_number 1
loop_
_space_group_symop_operation_xyz
'x,y,z'
loop_
_atom_site_label
_atom_site_type_symbol
_atom_site_fract_x
_atom_site_fract_y
_atom_site_fract_z
_atom_site_occupancy
Sm1 Sm 0.787 0.787 0.638 1
Cr1 Cr 0.519 0.519 0.443 1
Cr2 Cr 0.013 0.013 0.962 1
Ga1 Ga 0.312 0.312 0.063 1
O1 O 0.618 0.247 0.225 1
O2 O 0.247 0.910 0.225 1
O3 O 0.910 0.618 0.225 1
O4 O 0.354 0.727 0.745 1
O5 O 0.727 0.174 0.745 1
O6 O 0.174 0.354 0.745 1
# VASP energy: -7.496 eV/atom